Record 1
A relaxed Si2AgTe crystal, computed with PBE.

Properties
Volume = 26.56 Å³/atom
Fermi-level density of states = 8.05 states/eV per cell
Relative energy among the computed polymorphs = 199 meV per atom
Energy relative to the elements, uncorrected = 1.8 eV/f.u.
Crystal system = tetragonal
E_tot = -60.11 eV per cell

Lattice parameters (Å, degrees): 6.004 6.004 11.792 90.00 90.00 90.00
Space group I-42d (No. 122)
One atom of each set of equivalent atoms:
Si 0.215 0.250 0.125 (multiplicity 8)
Ag 0.000 0.000 0.000 (multiplicity 4)
Te 0.000 0.000 0.500 (multiplicity 4)

=====

Record 2
A relaxed IrPd2Ru crystal, computed with PBE.

Properties
Volume = 14.77 Å³/atom
Fermi-level density of states = 15.85 states/eV per cell
Relative energy among the computed polymorphs = 0 meV per atom
Energy of formation = 50 meV per atom
Crystal system = trigonal
E_tot = -84.97 eV per cell

Lattice parameters (Å, degrees): 2.7585 2.7585 26.8901 90.00 90.00 120.00
Space group R3m (No. 160, hexagonal axes)
One atom of each set of equivalent atoms:
Ir 0.0000 0.0000 0.0000 (multiplicity 3)
Pd 0.0000 0.0000 0.1613 (multiplicity 3)
Pd 0.0000 0.0000 0.5815 (multiplicity 3)
Ru 0.0000 0.0000 0.7450 (multiplicity 3)